1.
The following is a GGA-PBE calculation of Tm4Si5Ge2 after structural relaxation, from the Alexandria database.

- Raw formation energy: -0.565 eV/atom
- N(E_F): 2.73 states/eV per cell
- Volume: 19.5 Å³ per atom

Cell: 4.1276 6.6977 7.7607 Å, 87.12 90.00 90.00°
Element x y z (fractional)
1 Tm 0.5000 0.2472 0.6130
2 Tm 0.5000 0.7628 0.8756
3 Tm 0.5000 0.7528 0.3870
4 Tm 0.5000 0.2372 0.1244
5 Si 0.0000 0.4629 0.3411
6 Si 0.0000 0.8638 0.1186
7 Si 0.0000 0.5000 0.0000
8 Si 0.0000 0.1362 0.8814
9 Si 0.0000 0.5371 0.6589
10 Ge 0.0000 0.9033 0.6385
11 Ge 0.0000 0.0967 0.3615

=====

2.
The following is a GGA-PBE calculation of Tm2SiGe after structural relaxation, from the Alexandria database.

- Raw formation energy: -0.527 eV/atom
- N(E_F): 3.14 states/eV per cell
- Volume: 23.9 Å³ per atom

Cell: 4.0712 4.0712 7.0543 Å, 73.23 73.23 60.00°
Element x y z (fractional)
1 Ge 0.5000 0.5000 0.5000
2 Tm 0.2518 0.2518 0.2446
3 Tm 0.7482 0.7482 0.7554
4 Si 0.0000 0.0000 0.0000